Compound: OsRu3Rh3
Source: Alexandria
Functional: GGA-PBE
Structure: relaxed

The structure in extended XYZ format:
```
14
Lattice="7.248 0.000 0.000 -3.624 6.277 0.000 0.000 0.000 4.326" Properties=species:S:1:pos:R:3 pbc="T T T"
Os 0.000 4.185 1.081
Os 3.624 2.092 3.244
Ru -1.047 3.007 3.244
Ru -0.497 5.680 3.244
Ru 2.080 2.410 1.081
Ru 1.544 3.867 3.244
Ru 4.121 0.597 1.081
Ru 4.671 3.270 1.081
Rh -0.536 1.512 1.081
Rh -2.047 5.985 1.081
Rh 1.041 1.220 3.244
Rh 2.583 5.057 1.081
Rh 5.671 0.292 3.244
Rh 4.160 4.765 3.244
```

Properties
ΔE_f (eV per formula unit): 0.01

***

Compound: OsRu2Rh
Source: Alexandria
Functional: GGA-PBE
Structure: relaxed

The structure in extended XYZ format:
```
4
Lattice="2.706 0.000 0.000 0.000 2.706 0.000 0.000 0.000 7.705" Properties=species:S:1:pos:R:3 pbc="T T T"
Os 0.000 0.000 0.000
Ru 0.000 0.000 3.895
Ru 1.353 1.353 5.794
Rh 1.353 1.353 1.937
```

Properties
ΔE_f (eV per formula unit): 0.40
Excess energy over the best structure of this formula in the dataset (meV/atom): 86

***

Compound: Os2RuRhS
Source: Alexandria
Functional: GGA-PBE
Structure: relaxed

The structure in extended XYZ format:
```
5
Lattice="4.297 0.000 0.000 0.000 4.297 0.000 0.000 0.000 4.316" Properties=species:S:1:pos:R:3 pbc="T T T"
Os 0.000 2.149 0.000
Os 2.149 0.000 0.000
Ru 0.000 0.000 2.158
Rh 2.149 2.149 2.158
S 2.149 2.149 0.000
```

Properties
ΔE_f (raw) (kJ/mol of formula units): 534.7

***

no.,uncorrected energy (eV for the cell shown)
1,-122.197
2,-36.734
3,-37.672